The following is a DFT calculation (PBE) of DyCr2CN after structural relaxation.

Electronic total energy (eV/atom): -8.87
Raw formation energy (meV/atom): -586
Size of the total moment (μB per formula unit): 0.00
Crystal system: orthorhombic
Calculated density (g cm⁻³): 8.58

a b c (Å): 3.2573 10.2729 6.7657
angles (deg): 90.00 90.00 90.00
Closest atoms and distances in Å follow each position.
Space group Cmcm (No. 63)
Symmetry-distinct sites (fractional):
Dy  0.0000  0.0426  0.2500 x4  4 N 2.39
Cr  0.0000  0.3208  0.0665 x8  1 N 1.90
C  0.0000  0.2378  0.7500 x4  6 Cr 2.13-2.30
N  0.0000  0.5000  0.0000 x4  2 Cr 1.90